Li4MgPt2Pb | PBE | relaxed

Total moment   0.00 μB/cell
E   -3.624 eV per atom

a b c (Å): 4.5101 4.5101 6.3111
angles (deg): 90.00 90.00 90.00
Positions (direct):
Li  0.5000  0.5000  0.0000
Li  0.0000  0.5000  0.2324
Li  0.0000  0.0000  0.5000
Li  0.5000  0.0000  0.7676
Mg  0.0000  0.0000  0.0000
Pb  0.5000  0.5000  0.5000
Pt  0.5000  0.0000  0.2370
Pt  0.0000  0.5000  0.7630